No. 1
Here is an optimized crystal structure of Ac6GeOs2 from the Alexandria database. Energies are from PBE.

Lattice parameters (Å, degrees): 9.4330 9.4330 8.6406 96.51 96.51 27.35
Sites, in units of the cell vectors:
Ac  0.0079  0.0079  0.2618
Ac  0.3298  0.3298  0.4267
Ac  0.3299  0.3299  0.8833
Ac  0.6701  0.6701  0.1167
Ac  0.6702  0.6702  0.5733
Ac  0.9921  0.9921  0.7382
Ge  0.5000  0.5000  0.0000
Os  0.1636  0.1636  0.3407
Os  0.8364  0.8364  0.6593

---

No. 2
Here is an optimized crystal structure of Ac3Ge2Os from the Alexandria database. Energies are from PBE.

Lattice parameters (Å, degrees): 12.7352 4.4648 12.4683 90.00 90.00 90.00
Sites, in units of the cell vectors:
Ac  0.0613  0.2500  0.1250
Ac  0.1157  0.7500  0.5543
Ac  0.2147  0.2500  0.7983
Ac  0.2853  0.7500  0.2983
Ac  0.3843  0.2500  0.0543
Ac  0.4387  0.7500  0.6250
Ac  0.5613  0.2500  0.3750
Ac  0.6157  0.7500  0.9457
Ac  0.7147  0.2500  0.7017
Ac  0.7853  0.7500  0.2017
Ac  0.8843  0.2500  0.4457
Ac  0.9387  0.7500  0.8750
Ge  0.0294  0.7500  0.3141
Ge  0.2015  0.7500  0.9885
Ge  0.2985  0.2500  0.4885
Ge  0.4706  0.2500  0.8141
Ge  0.5294  0.7500  0.1859
Ge  0.7015  0.7500  0.5115
Ge  0.7985  0.2500  0.0115
Ge  0.9706  0.2500  0.6859
Os  0.1280  0.2500  0.3633
Os  0.3720  0.7500  0.8633
Os  0.6280  0.2500  0.1367
Os  0.8720  0.7500  0.6367

---

Number 1: formation energy -0.1556 eV/atom. Number 2: formation energy -0.4883 eV/atom.